1.
Computed, not measured: a relaxed structure of ReAsRh2 at the PBE level of DFT.

Calculated values
Spin magnetization ... 0.0 μB/f.u.
Space-group type ... R3m
DFT formation energy ... 0.354 eV/f.u.

Cell lengths 8.545, 8.545, 8.545 Å; angles 19.23, 19.23, 19.23 degrees
Sites, in units of the cell vectors:
Re: 0.000 0.000 0.000
As: 0.251 0.251 0.251
Rh: 0.507 0.507 0.507
Rh: 0.749 0.749 0.749


2.
Computed, not measured: a relaxed structure of ReAsRh2 at the PBE level of DFT.

Calculated values
Spin magnetization ... 0.0 μB/f.u.
Space-group type ... Amm2
DFT formation energy ... -0.273 eV/f.u.

Cell lengths 3.894, 5.484, 5.484 Å; angles 30.22, 90.00, 90.00 degrees
Sites, in units of the cell vectors:
Re: 0.000 0.000 0.000
As: 0.500 0.846 0.846
Rh: 0.000 0.260 0.260
Rh: 0.500 0.611 0.611


3.
Computed, not measured: a relaxed structure of Re2AsRh at the PBE level of DFT.

Calculated values
Spin magnetization ... 0.0 μB/f.u.
Space-group type ... Pmm2
DFT formation energy ... 0.717 eV/f.u.

Cell lengths 2.860, 3.916, 5.411 Å; angles 90.00, 90.00, 90.00 degrees
Sites, in units of the cell vectors:
Re: 0.000 0.000 0.000
Re: 0.500 0.500 0.196
As: 0.500 0.500 0.703
Rh: 0.000 0.000 0.498


4.
Computed, not measured: a relaxed structure of ReAsRh2 at the PBE level of DFT.

Calculated values
Spin magnetization ... 0.0 μB/f.u.
Space-group type ... Pmmm
DFT formation energy ... 0.636 eV/f.u.

Cell lengths 3.026, 4.398, 4.409 Å; angles 90.00, 90.00, 90.00 degrees
Sites, in units of the cell vectors:
Re: 0.000 0.000 0.000
As: 0.500 0.000 0.500
Rh: 0.000 0.500 0.500
Rh: 0.500 0.500 0.000


5.
Computed, not measured: a relaxed structure of ReAsRh2 at the PBE level of DFT.

Calculated values
Spin magnetization ... 1.0 μB/f.u.
Space-group type ... P4/mmm
DFT formation energy ... 0.813 eV/f.u.

Cell lengths 3.851, 3.851, 3.962 Å; angles 90.00, 90.00, 90.00 degrees
Sites, in units of the cell vectors:
Re: 0.000 0.000 0.000
As: 0.500 0.500 0.000
Rh: 0.000 0.500 0.500
Rh: 0.500 0.000 0.500


6.
Computed, not measured: a relaxed structure of ReAsRh2 at the PBE level of DFT.

Calculated values
Spin magnetization ... 0.0 μB/f.u.
Space-group type ... Imm2
DFT formation energy ... 0.213 eV/f.u.

Cell lengths 5.291, 5.291, 5.291 Å; angles 148.23, 130.33, 60.17 degrees
Sites, in units of the cell vectors:
Re: 0.000 0.000 0.000
As: 0.780 0.280 0.500
Rh: 0.271 0.771 0.500
Rh: 0.566 0.566 0.000


7.
Computed, not measured: a relaxed structure of ReAsRh2 at the PBE level of DFT.

Calculated values
Spin magnetization ... 0.0 μB/f.u.
Space-group type ... P4/mmm
DFT formation energy ... -0.152 eV/f.u.

Cell lengths 2.818, 2.818, 7.490 Å; angles 90.00, 90.00, 90.00 degrees
Sites, in units of the cell vectors:
Re: 0.000 0.000 0.000
As: 0.000 0.000 0.500
Rh: 0.500 0.500 0.246
Rh: 0.500 0.500 0.754


8.
Computed, not measured: a relaxed structure of Re2AsRh at the PBE level of DFT.

Calculated values
Spin magnetization ... 0.0 μB/f.u.
Space-group type ... I-4m2
DFT formation energy ... 1.214 eV/f.u.

Cell lengths 4.729, 4.729, 4.729 Å; angles 130.93, 130.93, 71.92 degrees
Sites, in units of the cell vectors:
Re: 0.000 0.000 0.000
Re: 0.750 0.250 0.500
As: 0.500 0.500 0.000
Rh: 0.250 0.750 0.500


9.
Computed, not measured: a relaxed structure of ReAsRh2 at the PBE level of DFT.

Calculated values
Spin magnetization ... 0.0 μB/f.u.
Space-group type ... Cmmm
DFT formation energy ... 0.358 eV/f.u.

Cell lengths 4.753, 4.753, 2.794 Å; angles 90.00, 90.00, 111.12 degrees
Sites, in units of the cell vectors:
Re: 0.000 0.000 0.000
As: 0.500 0.500 0.000
Rh: 0.000 0.500 0.500
Rh: 0.500 0.000 0.500


10.
Computed, not measured: a relaxed structure of Re2AsRh at the PBE level of DFT.

Calculated values
Spin magnetization ... 0.0 μB/f.u.
Space-group type ... Cm
DFT formation energy ... 0.812 eV/f.u.

Cell lengths 4.764, 4.764, 4.668 Å; angles 93.84, 93.84, 34.65 degrees
Sites, in units of the cell vectors:
Re: 0.000 0.000 0.000
Re: 0.736 0.736 0.214
As: 0.501 0.501 0.501
Rh: 0.266 0.266 0.727


11.
Computed, not measured: a relaxed structure of ReAsRh4 at the PBE level of DFT.

Calculated values
Spin magnetization ... 0.0 μB/f.u.
Space-group type ... F-43m
DFT formation energy ... 3.624 eV/f.u.

Cell lengths 5.095, 5.095, 5.095 Å; angles 60.00, 60.00, 60.00 degrees
Sites, in units of the cell vectors:
Re: 0.000 0.000 0.000
As: 0.250 0.250 0.250
Rh: 0.124 0.625 0.625
Rh: 0.625 0.124 0.625
Rh: 0.625 0.625 0.124
Rh: 0.625 0.625 0.625


12.
Computed, not measured: a relaxed structure of Re2AsRh at the PBE level of DFT.

Calculated values
Spin magnetization ... 0.0 μB/f.u.
Space-group type ... R-3m
DFT formation energy ... 0.823 eV/f.u.

Cell lengths 8.614, 8.614, 8.614 Å; angles 18.99, 18.99, 18.99 degrees
Sites, in units of the cell vectors:
Re: 0.247 0.247 0.247
Re: 0.753 0.753 0.753
As: 0.500 0.500 0.500
Rh: 0.000 0.000 0.000


13.
Computed, not measured: a relaxed structure of ReAsRh2 at the PBE level of DFT.

Calculated values
Spin magnetization ... 0.0 μB/f.u.
Space-group type ... C2/m
DFT formation energy ... 0.287 eV/f.u.

Cell lengths 4.711, 4.711, 4.589 Å; angles 94.85, 94.85, 35.59 degrees
Sites, in units of the cell vectors:
Re: 0.000 0.000 0.000
As: 0.500 0.500 0.500
Rh: 0.262 0.262 0.758
Rh: 0.738 0.738 0.242


14.
Computed, not measured: a relaxed structure of Re2AsRh at the PBE level of DFT.

Calculated values
Spin magnetization ... 0.0 μB/f.u.
Space-group type ... I-42d
DFT formation energy ... 4.377 eV/f.u.

Cell lengths 6.702, 6.702, 6.702 Å; angles 129.99, 129.99, 73.43 degrees
Sites, in units of the cell vectors:
Re: 0.118 0.625 0.993
Re: 0.375 0.368 0.493
Re: 0.632 0.125 0.007
Re: 0.875 0.882 0.507
As: 0.250 0.750 0.500
As: 0.500 0.500 0.000
Rh: 0.000 0.000 0.000
Rh: 0.750 0.250 0.500


15.
Computed, not measured: a relaxed structure of Re2AsRh at the PBE level of DFT.

Calculated values
Spin magnetization ... 0.0 μB/f.u.
Space-group type ... Imm2
DFT formation energy ... 0.566 eV/f.u.

Cell lengths 5.146, 5.146, 5.146 Å; angles 146.14, 128.96, 62.67 degrees
Sites, in units of the cell vectors:
Re: 0.000 0.000 0.000
Re: 0.733 0.233 0.500
As: 0.502 0.502 0.000
Rh: 0.282 0.782 0.500


16.
Computed, not measured: a relaxed structure of ReAsRh2 at the PBE level of DFT.

Calculated values
Spin magnetization ... 0.0 μB/f.u.
Space-group type ... Pmm2
DFT formation energy ... 0.465 eV/f.u.

Cell lengths 2.808, 3.683, 5.763 Å; angles 90.00, 90.00, 90.00 degrees
Sites, in units of the cell vectors:
Re: 0.000 0.000 0.000
As: 0.500 0.500 0.698
Rh: 0.000 0.000 0.489
Rh: 0.500 0.500 0.211


17.
Computed, not measured: a relaxed structure of Re2AsRh at the PBE level of DFT.

Calculated values
Spin magnetization ... 0.0 μB/f.u.
Space-group type ... Pmmm
DFT formation energy ... 1.428 eV/f.u.

Cell lengths 2.972, 4.416, 4.632 Å; angles 90.00, 90.00, 90.00 degrees
Sites, in units of the cell vectors:
Re: 0.000 0.000 0.000
Re: 0.500 0.500 0.000
As: 0.000 0.500 0.500
Rh: 0.500 0.000 0.500


18.
Computed, not measured: a relaxed structure of ReAsRh2 at the PBE level of DFT.

Calculated values
Spin magnetization ... 0.0 μB/f.u.
Space-group type ... Pmmm
DFT formation energy ... 0.065 eV/f.u.

Cell lengths 2.834, 3.864, 5.394 Å; angles 90.00, 90.00, 90.00 degrees
Sites, in units of the cell vectors:
Re: 0.000 0.000 0.000
As: 0.000 0.000 0.500
Rh: 0.500 0.500 0.242
Rh: 0.500 0.500 0.758


19.
Computed, not measured: a relaxed structure of Re2AsRh at the PBE level of DFT.

Calculated values
Spin magnetization ... 0.0 μB/f.u.
Space-group type ... P2/m
DFT formation energy ... 0.931 eV/f.u.

Cell lengths 2.817, 4.096, 5.342 Å; angles 90.00, 103.96, 90.00 degrees
Sites, in units of the cell vectors:
Re: 0.129 0.000 0.255
Re: 0.871 0.000 0.745
As: 0.500 0.500 0.500
Rh: 0.500 0.500 0.000


20.
Computed, not measured: a relaxed structure of ReAsRh2 at the PBE level of DFT.

Calculated values
Spin magnetization ... 0.0 μB/f.u.
Space-group type ... P2/m
DFT formation energy ... 0.035 eV/f.u.

Cell lengths 2.816, 3.978, 5.336 Å; angles 90.00, 100.30, 90.00 degrees
Sites, in units of the cell vectors:
Re: 0.000 0.000 0.000
As: 0.000 0.000 0.500
Rh: 0.407 0.500 0.751
Rh: 0.593 0.500 0.249